# 1
Compound: PmHo2Cd2In2
Source: Alexandria via LeMat-Bulk
Functional: PBE
Structure: optimized geometry

Lattice parameters (Å, degrees): 4.9551 4.9551 26.9603 90.00 90.00 120.00
Space group R-3m (No. 166, hexagonal axes)
Inequivalent atoms, fractional coordinates:
Pm (0.0000, 0.0000, 0.0000) (multiplicity 3)
Ho (0.0000, 0.0000, 0.1289) (multiplicity 6)
Cd (0.0000, 0.0000, 0.4018) (multiplicity 6)
In (0.0000, 0.0000, 0.2574) (multiplicity 6)

Fermi-level density of states, states/eV/atom: 0.577
Calculated formation energy, eV per atom: -0.26

***

# 2
Compound: La2PtBr
Source: Alexandria via LeMat-Bulk
Functional: PBE
Structure: optimized geometry

Lattice parameters (Å, degrees): 3.875 3.885 15.994 90.00 90.00 90.00
Space group Imm2 (No. 44)
Inequivalent atoms, fractional coordinates:
La (0.000, 0.000, 0.000) (multiplicity 2)
La (0.000, 0.500, 0.286) (multiplicity 2)
Pt (0.000, 0.000, 0.423) (multiplicity 2)
Br (0.000, 0.500, 0.673) (multiplicity 2)

Relative energy among the computed polymorphs, eV per formula unit: 0.69
Fermi-level density of states, states/eV/atom: 0.776
ΔE_f (raw), kJ/mol of formula units: -454

***

# 3
Compound: Sc12GaCo6
Source: Alexandria via LeMat-Bulk
Functional: PBE
Structure: optimized geometry

Lattice parameters (Å, degrees): 8.928 8.928 8.928 90.00 90.00 90.00
Space group Im-3 (No. 204)
Inequivalent atoms, fractional coordinates:
Sc (0.000, 0.196, 0.294) (multiplicity 24)
Ga (0.000, 0.000, 0.000) (multiplicity 2)
Co (0.000, 0.379, 0.500) (multiplicity 12)

Fermi-level density of states, states/eV/atom: 0.877
Calculated formation energy, eV per atom: -0.31

***

# 4
Compound: Ba2LaAlTe5
Source: Alexandria via LeMat-Bulk
Functional: PBE
Structure: optimized geometry

Lattice parameters (Å, degrees): 4.584 20.653 14.483 90.00 90.00 90.00
Space group Cmc2_1 (No. 36)
Inequivalent atoms, fractional coordinates:
Ba (0.000, 0.121, 0.000) (multiplicity 4)
Ba (0.000, 0.121, 0.353) (multiplicity 4)
La (0.000, 0.201, 0.695) (multiplicity 4)
Al (0.000, 0.440, 0.087) (multiplicity 4)
Te (0.000, 0.038, 0.689) (multiplicity 4)
Te (0.000, 0.299, 0.347) (multiplicity 4)
Te (0.000, 0.316, 0.034) (multiplicity 4)
Te (0.000, 0.352, 0.677) (multiplicity 4)
Te (0.000, 0.500, 0.430) (multiplicity 4)

ΔE_f (raw), kJ/mol of formula units: -1196